# 1
This record from Alexandria describes a relaxed structure of LiPrHoSi. The functional is PBE.

As for the magnetic moment: 0.0 μB per formula unit. The calculation puts the uncorrected formation energy at -338 meV per atom.

Cell lengths 7.1716, 7.1716, 7.1716 Å; angles 90.00, 90.00, 90.00 degrees
Space group F-43m (No. 216)
Asymmetric unit:
Li: 0.0000 0.0000 0.0000 [4 per cell]
Pr: 0.2500 0.2500 0.7500 [4 per cell]
Ho: 0.2500 0.2500 0.2500 [4 per cell]
Si: 0.0000 0.0000 0.5000 [4 per cell]


# 2
This record from Alexandria describes a relaxed structure of Li2Pr2HoSi2. The functional is PBE.

As for the magnetic moment: 0.0 μB per formula unit. The calculation puts the uncorrected formation energy at -390 meV per atom.

Cell lengths 4.4117, 4.4117, 29.0035 Å; angles 90.00, 90.00, 120.00 degrees
Space group R-3m (No. 166, hexagonal axes)
Asymmetric unit:
Li: 0.0000 0.0000 0.1141 [6 per cell]
Pr: 0.0000 0.0000 0.3782 [6 per cell]
Ho: 0.0000 0.0000 0.5000 [3 per cell]
Si: 0.0000 0.0000 0.2263 [6 per cell]